Cu2OsAu | PBE | relaxed

Cell lengths 2.6383, 3.9318, 5.5146 Å; angles 90.00, 90.00, 90.00 degrees
Sites, in units of the cell vectors:
Os: 0.0000 0.0000 0.4755
Cu: 0.5000 0.5000 0.2559
Au: 0.5000 0.5000 0.7603
Cu: 0.0000 0.0000 0.0083

Computed properties:
- total magnetization (μB/cell) = 0.00
- ΔE_f (eV/f.u.) = 1.6
- crystal system = orthorhombic
- distance to the lowest polymorph of the same formula (meV/atom) = 181.2